[1]
Computed, not measured: a PBEsol-optimized structure of CaZn3Ni at the SCAN level of DFT.

Results
Formation energy from the elements (eV/atom): 1.478

Cell lengths 5.269, 5.269, 5.269 Å; angles 90.00, 90.00, 90.00 degrees
Space group Pm-3m (No. 221)
Symmetry-distinct sites (fractional):
Ca: 0.000 0.000 0.000
Zn: 0.000 0.000 0.500
Ni: 0.500 0.500 0.500

***

[2]
Computed, not measured: a PBEsol-optimized structure of CrOs3Rh at the SCAN level of DFT.

Results
Formation energy from the elements (eV/atom): 1.881

Cell lengths 4.334, 4.334, 4.334 Å; angles 90.00, 90.00, 90.00 degrees
Space group Pm-3m (No. 221)
Symmetry-distinct sites (fractional):
Cr: 0.000 0.000 0.000
Os: 0.000 0.000 0.500
Rh: 0.500 0.500 0.500

***

| no. | calculated density (g/cm³) |
| --- | --- |
| 1 | 3.3 |
| 2 | 14.8 |